# PBE TbNd3Tl4Se8, optimized geometry
# E_form (uncorrected): -1380 meV/atom
# Volume: 1488 Å³/cell
# M_tot: 0.00 μB/f.u.
data_TbNd3Tl4Se8
_symmetry_space_group_name_H-M 'R -3 m'
_symmetry_Int_Tables_number 166
_symmetry_space_group_name_Hall '-R 3 2"'
_cell_length_a 8.5932
_cell_length_b 8.5932
_cell_length_c 23.2729
_cell_angle_alpha 90.00
_cell_angle_beta 90.00
_cell_angle_gamma 120.00
loop_
_atom_site_label
_atom_site_type_symbol
_atom_site_fract_x
_atom_site_fract_y
_atom_site_fract_z
_atom_site_occupancy
Tb1 Tb 0.0000 0.0000 0.0000 1
Nd1 Nd 0.0000 0.5000 0.0000 1
Tl1 Tl 0.0000 0.0000 0.5000 1
Tl2 Tl 0.0000 0.5000 0.5000 1
Se1 Se 0.0000 0.0000 0.2627 1
Se2 Se 0.0065 0.5033 0.7362 1